Density functional theory data (GGA+U) for a relaxed structure of VInOF2.

a = 4.2905 Å, b = 4.2905 Å, c = 3.8906 Å
α = 90.00°, β = 90.00°, γ = 90.00°
Positions (direct):
In1 0.5000 0.5000 0.5000
O1 0.0000 0.0000 0.5000
F1 0.5000 0.0000 0.0000
F2 0.0000 0.5000 0.0000
V1 0.0000 0.0000 0.0000

Calculated values
Its crystal system is tetragonal. As for the energy above the most stable polymorph in this dataset: 0 meV per atom. The value obtained for the size of the total moment is 2.0 μB/cell. The density comes out at 5.1 g/cm³.